Entry 1:
AcMgW | PBE | relaxed

a b c (Å): 5.0277 5.0277 5.0277
angles (deg): 60.00 60.00 60.00
With the nearest neighbours (Å) after each atom.
Positions (direct):
Mg 0.5000 0.5000 0.5000  4 W 3.08
Ac 0.0000 0.0000 0.0000  4 W 3.08
W 0.2500 0.2500 0.2500  4 Mg 3.08, 4 Ac 3.08

Properties
* total magnetic moment: 2.96 Bohr magnetons per cell
* excess energy over the best structure of this formula in the dataset: 0 meV per atom
* symmetry: No. 216
* VASP energy: -15.076 eV per cell

=====

Entry 2:
AcMgW | PBE | relaxed

a b c (Å): 5.1586 5.1586 5.1586
angles (deg): 60.00 60.00 60.00
With the nearest neighbours (Å) after each atom.
Positions (direct):
Mg 0.2500 0.2500 0.2500  4 Ac 3.16
Ac 0.0000 0.0000 0.0000  4 Mg 3.16, 4 W 3.16
W 0.7500 0.7500 0.7500  4 Ac 3.16

Properties
* total magnetic moment: 2.99 Bohr magnetons per cell
* excess energy over the best structure of this formula in the dataset: 550 meV per atom
* symmetry: No. 216
* VASP energy: -13.425 eV per cell

=====

Entry 3:
AcMg4Zn2 | PBE | relaxed

a b c (Å): 8.4055 8.4055 4.6230
angles (deg): 90.00 90.00 149.31
With the nearest neighbours (Å) after each atom.
Positions (direct):
Mg 0.1809 0.8191 0.5000  2 Zn 2.78
Mg 0.8191 0.1809 0.5000  2 Zn 2.78
Mg 0.3198 0.6802 0.0000  2 Zn 2.84, 2 Mg 3.17
Mg 0.6802 0.3198 0.0000  2 Zn 2.84, 2 Mg 3.17
Zn 0.5782 0.4218 0.5000  1 Zn 2.54, 2 Mg 2.78
Zn 0.4218 0.5782 0.5000  1 Zn 2.54, 2 Mg 2.78
Ac 0.0000 0.0000 0.0000  8 Zn 3.45, 8 Mg 3.67-3.73

Properties
* total magnetic moment: 0.00 Bohr magnetons per cell
* symmetry: No. 65
* VASP energy: -14.071 eV per cell

=====

Entry 4:
AcMgZn | PBE | relaxed

a b c (Å): 5.2955 5.2955 5.2955
angles (deg): 60.00 60.00 60.00
With the nearest neighbours (Å) after each atom.
Positions (direct):
Ac 0.0000 0.0000 0.0000  4 Mg 3.24, 4 Zn 3.24
Mg 0.2500 0.2500 0.2500  4 Ac 3.24
Zn 0.7500 0.7500 0.7500  4 Ac 3.24

Properties
* total magnetic moment: 0.02 Bohr magnetons per cell
* excess energy over the best structure of this formula in the dataset: 645 meV per atom
* symmetry: No. 216
* VASP energy: -5.675 eV per cell

=====

Entry 5:
AcMgZn | PBE | relaxed

a b c (Å): 5.0526 5.0526 5.0526
angles (deg): 60.00 60.00 60.00
With the nearest neighbours (Å) after each atom.
Positions (direct):
Ac 0.2500 0.2500 0.2500  4 Zn 3.09
Mg 0.7500 0.7500 0.7500  4 Zn 3.09
Zn 0.0000 0.0000 0.0000  4 Mg 3.09, 4 Ac 3.09

Properties
* total magnetic moment: 0.04 Bohr magnetons per cell
* excess energy over the best structure of this formula in the dataset: 152 meV per atom
* symmetry: No. 216
* VASP energy: -7.152 eV per cell

=====

Entry 6:
AcMgZn | PBE | relaxed

a b c (Å): 7.7112 7.7112 4.8000
angles (deg): 90.03 90.03 60.01
With the nearest neighbours (Å) after each atom.
Positions (direct):
Zn 0.5795 0.0865 0.5000  3 Mg 3.02-3.03, 6 Ac 3.33
Zn 0.9135 0.4205 0.5000  3 Mg 3.02-3.03, 6 Ac 3.33
Zn 0.2473 0.7527 0.0000  6 Mg 3.00, 3 Ac 3.24
Ac 0.8266 0.7539 0.0002  5 Zn 3.24-3.33, 2 Mg 3.59
Ac 0.6669 0.3331 0.0000  5 Zn 3.24-3.33, 2 Mg 3.59
Ac 0.2461 0.1734 0.9998  5 Zn 3.24-3.33, 2 Mg 3.59
Mg 0.4807 0.7532 0.4997  4 Zn 3.00-3.03, 2 Mg 3.12
Mg 0.0129 0.9871 0.5000  4 Zn 3.00-3.03, 2 Mg 3.12
Mg 0.2468 0.5193 0.5003  4 Zn 3.00-3.03, 2 Mg 3.12

Properties
* total magnetic moment: 0.00 Bohr magnetons per cell
* excess energy over the best structure of this formula in the dataset: 0 meV per atom
* symmetry: No. 38
* VASP energy: -22.826 eV per cell

=====

Entry 7:
Ac2Mg2Zn15 | PBE | relaxed

a b c (Å): 7.0413 7.0413 7.0413
angles (deg): 82.55 82.55 82.55
With the nearest neighbours (Å) after each atom.
Positions (direct):
Zn 0.6508 0.1584 0.6508  8 Zn 2.67-2.89, 1 Mg 2.93
Zn 0.5000 0.0000 0.0000  8 Zn 2.67-2.71, 2 Mg 2.82
Zn 0.0000 0.5000 0.0000  8 Zn 2.67-2.71, 2 Mg 2.82
Zn 0.3492 0.3492 0.8416  8 Zn 2.67-2.89, 1 Mg 2.93
Zn 0.0000 0.2865 0.7135  8 Zn 2.66-2.89
Zn 0.7135 0.2865 0.0000  8 Zn 2.66-2.89
Zn 0.3492 0.8416 0.3492  8 Zn 2.67-2.89, 1 Mg 2.93
Zn 0.7135 0.0000 0.2865  8 Zn 2.66-2.89
Zn 0.8416 0.3492 0.3492  8 Zn 2.67-2.89, 1 Mg 2.93
Zn 0.6508 0.6508 0.1584  8 Zn 2.67-2.89, 1 Mg 2.93
Zn 0.2865 0.0000 0.7135  8 Zn 2.66-2.89
Zn 0.0000 0.0000 0.5000  8 Zn 2.67-2.71, 2 Mg 2.82
Zn 0.1584 0.6508 0.6508  8 Zn 2.67-2.89, 1 Mg 2.93
Zn 0.0000 0.7135 0.2865  8 Zn 2.66-2.89
Zn 0.2865 0.7135 0.0000  8 Zn 2.66-2.89
Mg 0.1019 0.1019 0.1019  1 Mg 2.79, 12 Zn 2.82-3.01
Mg 0.8981 0.8981 0.8981  1 Mg 2.79, 12 Zn 2.82-3.01
Ac 0.3420 0.3420 0.3420  1 Mg 3.29, 18 Zn 3.30-3.60
Ac 0.6580 0.6580 0.6580  1 Mg 3.29, 18 Zn 3.30-3.60

Properties
* total magnetic moment: 0.00 Bohr magnetons per cell
* symmetry: No. 166
* VASP energy: -34.709 eV per cell

=====

Entry 8:
AcMgZr | PBE | relaxed

a b c (Å): 5.3254 5.3254 5.3254
angles (deg): 60.00 60.00 60.00
With the nearest neighbours (Å) after each atom.
Positions (direct):
Mg 0.2500 0.2500 0.2500  4 Ac 3.26
Zr 0.7500 0.7500 0.7500  4 Ac 3.26
Ac 0.0000 0.0000 0.0000  4 Zr 3.26, 4 Mg 3.26

Properties
* total magnetic moment: 0.98 Bohr magnetons per cell
* excess energy over the best structure of this formula in the dataset: 419 meV per atom
* symmetry: No. 216
* VASP energy: -10.883 eV per cell

=====

Entry 9:
AcMgZr | PBE | relaxed

a b c (Å): 5.2215 5.2215 5.2215
angles (deg): 60.00 60.00 60.00
With the nearest neighbours (Å) after each atom.
Positions (direct):
Zr 0.7500 0.7500 0.7500  4 Mg 3.20
Mg 0.0000 0.0000 0.0000  4 Ac 3.20, 4 Zr 3.20
Ac 0.2500 0.2500 0.2500  4 Mg 3.20

Properties
* total magnetic moment: 1.03 Bohr magnetons per cell
* excess energy over the best structure of this formula in the dataset: 0 meV per atom
* symmetry: No. 216
* VASP energy: -12.140 eV per cell

=====

Entry 10:
AcNbMo | PBE | relaxed

a b c (Å): 4.7566 4.7566 4.7566
angles (deg): 60.00 60.00 60.00
With the nearest neighbours (Å) after each atom.
Positions (direct):
Ac 0.2500 0.2500 0.2500  4 Nb 2.91
Nb 0.0000 0.0000 0.0000  4 Ac 2.91, 4 Mo 2.91
Mo 0.7500 0.7500 0.7500  4 Nb 2.91

Properties
* total magnetic moment: 0.01 Bohr magnetons per cell
* symmetry: No. 216
* VASP energy: -22.094 eV per cell
* formation energy from the elements: 0.985 eV per atom

=====

Entry 11:
AcNdMo | PBE | relaxed

a b c (Å): 5.1330 5.1330 5.1330
angles (deg): 60.00 60.00 60.00
With the nearest neighbours (Å) after each atom.
Positions (direct):
Nd 0.0000 0.0000 0.0000  4 Mo 3.14, 4 Ac 3.14
Ac 0.2500 0.2500 0.2500  4 Nd 3.14
Mo 0.7500 0.7500 0.7500  4 Nd 3.14

Properties
* total magnetic moment: 1.73 Bohr magnetons per cell
* symmetry: No. 216
* VASP energy: -15.898 eV per cell
* formation energy from the elements: 1.273 eV per atom

=====

Entry 12:
AcNiMo | PBE | relaxed

a b c (Å): 4.6959 4.6959 4.6959
angles (deg): 60.00 60.00 60.00
With the nearest neighbours (Å) after each atom.
Positions (direct):
Ac 0.2500 0.2500 0.2500  4 Ni 2.88
Mo 0.7500 0.7500 0.7500  4 Ni 2.88
Ni 0.0000 0.0000 0.0000  4 Mo 2.88, 4 Ac 2.88

Properties
* total magnetic moment: 3.54 Bohr magnetons per cell
* excess energy over the best structure of this formula in the dataset: 0 meV per atom
* symmetry: No. 216
* VASP energy: -18.231 eV per cell
* formation energy from the elements: 0.764 eV per atom